(1)
16
Lattice="8.929 0.000 0.000 0.000 8.929 0.000 0.000 0.000 8.929" Properties=species:S:1:pos:R:3 comment="Rb2BiBr GGA-PBE relaxed" raw_formation_energy_ev_per_atom=-0.59 n_ef_per_ev_fu=5.87 pbc="T T T"
Rb 2.232 2.232 2.232
Rb 2.232 2.232 6.696
Rb 2.232 6.696 2.232
Rb 2.232 6.696 6.696
Rb 6.696 2.232 2.232
Rb 6.696 2.232 6.696
Rb 6.696 6.696 2.232
Rb 6.696 6.696 6.696
Bi 0.000 0.000 0.000
Bi 0.000 4.464 4.464
Bi 4.464 0.000 4.464
Bi 4.464 4.464 0.000
Br 0.000 0.000 4.464
Br 0.000 4.464 0.000
Br 4.464 0.000 0.000
Br 4.464 4.464 4.464

---

(2)
10
Lattice="-3.895 3.895 5.537 3.895 -3.895 5.537 3.895 3.895 -5.537" Properties=species:S:1:pos:R:3 comment="Rb2BiRuBr6 GGA-PBE relaxed" raw_formation_energy_ev_per_atom=-0.80 n_ef_per_ev_fu=5.26 pbc="T T T"
Rb 3.895 0.000 2.768
Rb 0.000 3.895 2.768
Bi 0.000 0.000 0.000
Ru 0.000 0.000 5.537
Br 2.068 2.068 0.000
Br 1.827 -1.827 5.537
Br 0.000 0.000 2.944
Br 0.000 0.000 8.130
Br -1.827 1.827 5.537
Br 1.827 1.827 5.537

---

(3)
10
Lattice="-4.261 4.261 5.352 4.261 -4.261 5.352 4.261 4.261 -5.352" Properties=species:S:1:pos:R:3 comment="Rb2BiSBr6 GGA-PBE relaxed" raw_formation_energy_ev_per_atom=-0.81 n_ef_per_ev_fu=4.28 pbc="T T T"
Rb 4.261 0.000 2.676
Rb 0.000 4.261 2.676
Bi 0.000 0.000 0.000
S 0.000 0.000 5.352
Br 2.014 2.014 0.000
Br 2.247 -2.247 5.352
Br 0.000 0.000 2.888
Br 0.000 0.000 7.817
Br -2.247 2.247 5.352
Br 2.247 2.247 5.352

---

(4)
5
Lattice="5.910 0.000 0.000 0.000 5.910 0.000 0.000 0.000 5.308" Properties=species:S:1:pos:R:3 comment="RbBiSBr2 GGA-PBE relaxed" raw_formation_energy_ev_per_atom=-0.85 n_ef_per_ev_fu=1.18 pbc="T T T"
Rb 0.000 0.000 0.000
Bi 2.955 2.955 2.654
S 2.955 2.955 0.000
Br 0.000 2.955 2.654
Br 2.955 0.000 2.654

---

(5)
10
Lattice="-4.139 4.139 5.902 4.139 -4.139 5.902 4.139 4.139 -5.902" Properties=species:S:1:pos:R:3 comment="Rb2BiSbBr6 GGA-PBE relaxed" raw_formation_energy_ev_per_atom=-0.94 n_ef_per_ev_fu=4.16 pbc="T T T"
Rb 4.139 0.000 2.951
Rb 0.000 4.139 2.951
Bi 0.000 0.000 0.000
Sb 0.000 0.000 5.902
Br 0.000 0.000 2.975
Br 2.090 2.090 0.000
Br 2.050 -2.050 5.902
Br -2.050 2.050 5.902
Br 0.000 0.000 8.830
Br 2.050 2.050 5.902

---

(6)
5
Lattice="5.693 0.000 0.000 0.000 5.693 0.000 0.000 0.000 5.833" Properties=species:S:1:pos:R:3 comment="RbScBi2Br GGA-PBE relaxed" raw_formation_energy_ev_per_atom=-0.52 n_ef_per_ev_fu=4.99 pbc="T T T"
Rb 0.000 0.000 0.000
Sc 2.846 2.846 2.917
Bi 0.000 2.846 2.917
Bi 2.846 0.000 2.917
Br 2.846 2.846 0.000